Density functional theory data (PBE) for an optimized crystal structure of MgNb2In2.

Calculated values
final energy = -51.4 eV per cell
symmetry = P4/mbm, No. 127
crystal system = tetragonal
energy relative to the elements = 0.301 eV per atom

The structure in CIF format:
```
data_MgNb2In2
_cell_length_a 7.3766
_cell_length_b 7.3766
_cell_length_c 3.8364
_cell_angle_alpha 90.00
_cell_angle_beta 90.00
_cell_angle_gamma 90.00
_symmetry_space_group_name_H-M 'P 1'
_symmetry_Int_Tables_number 1
loop_
_symmetry_equiv_pos_as_xyz
'x,y,z'
loop_
_atom_site_label
_atom_site_type_symbol
_atom_site_fract_x
_atom_site_fract_y
_atom_site_fract_z
_atom_site_occupancy
Mg1 Mg 0.0000 0.0000 0.0000 1
Mg2 Mg 0.5000 0.5000 0.0000 1
Nb1 Nb 0.1565 0.3435 0.5000 1
Nb2 Nb 0.3435 0.8435 0.5000 1
Nb3 Nb 0.6565 0.1565 0.5000 1
Nb4 Nb 0.8435 0.6565 0.5000 1
In1 In 0.1413 0.6413 0.0000 1
In2 In 0.3587 0.1413 0.0000 1
In3 In 0.6413 0.8587 0.0000 1
In4 In 0.8587 0.3587 0.0000 1
```